K2CoH2 | SCAN | single point on PBEsol structure

Properties
volume = 17.721 Å³ per atom
space group = P4/mbm (127)
calculated total energy = -7.53 eV/atom

Cell and atoms, written as POSCAR:
```
K2CoH2
1.0
-0.100 2.777 -0.628
-2.832 -1.720 -7.157
-7.356 0.373 2.821
Co K H
2 4 4
Direct
0.000 0.500 0.500 Co
0.000 0.000 0.000 Co
0.000 0.146 0.354 K
0.000 0.646 0.146 K
0.000 0.354 0.854 K
0.000 0.854 0.646 K
0.500 0.153 0.653 H
0.500 0.653 0.847 H
0.500 0.847 0.347 H
0.500 0.347 0.153 H
```